Compound: Si3Ir
Source: Alexandria
Functional: GGA-PBE
Structure: relaxed

Lattice parameters (Å, degrees): 4.3787 4.3787 7.3832 90.00 90.00 120.00
Space group P6_3/mmc (No. 194)
One atom of each set of equivalent atoms:
Si 0.0000 0.0000 0.2500
Si 0.3333 0.6667 0.0858
Ir 0.3333 0.6667 0.7500

Computed properties:
- raw total energy (eV/atom) = -6.196
- E_form (uncorrected) (eV/atom) = 0.09


Compound: SiIr2
Source: Alexandria
Functional: GGA-PBE
Structure: relaxed

Lattice parameters (Å, degrees): 5.714 5.714 5.714 90.00 90.00 90.00
Space group Pa-3 (No. 205)
One atom of each set of equivalent atoms:
Si 0.000 0.000 0.000
Ir 0.134 0.634 0.866

Computed properties:
- raw total energy (eV/atom) = -7.667
- E_form (uncorrected) (eV/atom) = 0.05


Compound: Si5Ir4
Source: Alexandria
Functional: GGA-PBE
Structure: relaxed

Lattice parameters (Å, degrees): 8.028 8.028 3.818 90.00 90.00 90.00
Space group I4/mmm (No. 139)
One atom of each set of equivalent atoms:
Si 0.000 0.000 0.000
Si 0.171 0.171 0.500
Ir 0.000 0.301 0.000

Computed properties:
- raw total energy (eV/atom) = -7.007
- E_form (uncorrected) (eV/atom) = -0.06